Record 1
VASP calculation (PBE) on AcDyNi2P2 after structural relaxation.

Calculated values
Its formation energy is -1.1329 eV per atom. The space-group type is P-3m1, No. 164. For the raw total energy, the calculation gives -37.89 eV per formula unit.

Geometry as POSCAR:
```
AcDyNi2P2
1.0
-1.010 -2.776 2.677
2.165 -1.005 -3.193
6.863 1.525 4.172
P Ni Dy Ac
2 2 1 1
direct
0.667 0.333 0.726
0.333 0.667 0.274
0.667 0.333 0.267
0.333 0.667 0.733
0.000 0.000 0.500
0.000 0.000 0.000
```

***

Record 2
VASP calculation (PBE) on AcDyNiPd after structural relaxation.

Calculated values
Its formation energy is -0.4463 eV per atom. The space-group type is F-43m, No. 216. For the raw total energy, the calculation gives -21.47 eV per formula unit.

Geometry as POSCAR:
```
AcDyNiPd
1.0
-4.668 1.524 1.420
-2.802 -2.920 3.123
-0.847 1.489 4.816
Dy Ni Ac Pd
1 1 1 1
direct
0.750 0.750 0.750
0.000 0.000 0.000
0.250 0.250 0.250
0.500 0.500 0.500
```

***

Q: Among the records above, which one has the lowest raw total energy?
A: AcDyNi2P2